Na3Mg2 PBE-GGA relaxed; magnetic moment = 0.00 μB per formula unit; V = 146 Å³ per cell; energy above the lowest structure with this stoichiometry = 0 meV/atom; ρ = 1.34 Mg/m³; D(E_F) = 0.3858 states/eV/atom; formation energy = 0.08 eV/atom
1.0
15.128 -0.349 -0.202
14.834 2.989 -0.202
14.834 1.307 2.695
Na Mg
3 2
Cartesian
0.000 0.000 0.000
9.091 0.801 0.465
35.704 3.146 1.826
17.847 1.573 0.913
26.948 2.374 1.378